Record 1
Here is crystalline LiCeScAu at its relaxed geometry from Alexandria. Energies are from PBE.

The structure belongs to space group F-43m (No. 216); the cell edges are 7.1180, 7.1180 and 7.1180 Å and the angles 90.00°, 90.00° and 90.00°. The inequivalent atoms are Li at (0.0000, 0.0000, 0.0000), Ce at (0.2500, 0.2500, 0.7500), Sc at (0.2500, 0.2500, 0.2500) and Au at (0.0000, 0.0000, 0.5000).

Its formation energy is -0.96 eV per formula unit.

=====

Record 2
Here is crystalline TbSm6Ho3 at its relaxed geometry from Alexandria. Energies are from PBE.

The structure belongs to space group Cmc2_1 (No. 36); the cell edges are 9.7539, 21.2216 and 6.4053 Å and the angles 90.00°, 90.00° and 90.00°. The inequivalent atoms are Tb at (0.0000, 0.1593, 0.0000), Sm at (0.0000, 0.0160, 0.8039), Sm at (0.0000, 0.3009, 0.7811), Sm at (0.1750, 0.2808, 0.3116), Sm at (0.1803, 0.4402, 0.5575), Ho at (0.0000, 0.4194, 0.0786) and Ho at (0.1681, 0.1258, 0.4758).

Its formation energy is 1.27 eV per formula unit. For the energy above the most stable polymorph in this dataset, the calculation gives 0.00 eV/f.u.

=====

Record 3
Here is crystalline ZnIr2Pt at its relaxed geometry from Alexandria. Energies are from PBE.

The structure belongs to space group Cm (No. 8); the cell edges are 9.0523, 2.7816 and 4.7553 Å and the angles 90.00°, 99.99° and 90.00°. The inequivalent atoms are Zn at (0.0000, 0.0000, 0.0000), Ir at (0.2519, 0.5000, 0.2914), Ir at (0.4957, 0.0000, 0.4889) and Pt at (0.2484, 0.0000, 0.7836).

Its formation energy is -0.43 eV per formula unit.

=====

Record 4
Here is crystalline BaBeRu2 at its relaxed geometry from Alexandria. Energies are from PBE.

The structure belongs to space group Pmm2 (No. 25); the cell edges are 2.9818, 3.4175 and 7.4026 Å and the angles 90.00°, 90.00° and 90.00°. The inequivalent atoms are Ba at (0.0000, 0.0000, 0.0000), Be at (0.5000, 0.5000, 0.3428), Ru at (0.0000, 0.0000, 0.4794) and Ru at (0.5000, 0.5000, 0.6512).

Its formation energy is 1.76 eV per formula unit.

=====

Record 5
Here is crystalline Tb2PrEr3Te6 at its relaxed geometry from Alexandria. Energies are from PBE.

The structure belongs to space group C2/m (No. 12); the cell edges are 19.1449, 4.3355 and 8.8238 Å and the angles 90.00°, 104.27° and 90.00°. The inequivalent atoms are Tb at (0.1639, 0.0000, 0.3275), Pr at (0.0000, 0.5000, 0.0000), Er at (0.0000, 0.5000, 0.5000), Er at (0.1620, 0.0000, 0.8314), Te at (0.9999, 0.0000, 0.2621), Te at (0.1669, 0.5000, 0.5849) and Te at (0.1729, 0.5000, 0.0815).

The raw formation energy is -1.284 eV per atom.

=====

Record 6
Here is crystalline Sm4Al3 at its relaxed geometry from Alexandria. Energies are from PBE.

The structure belongs to space group R-3 (No. 148, hexagonal axes); the cell edges are 14.0412, 14.0412 and 6.4731 Å and the angles 90.00°, 90.00° and 120.00°. The inequivalent atoms are Sm at (0.0000, 0.0000, 0.0000), Sm at (0.0000, 0.0000, 0.5000), Sm at (0.0524, 0.7999, 0.1744) and Al at (0.0483, 0.8228, 0.6877).

Its formation energy is -1.94 eV per formula unit. For the energy above the most stable polymorph in this dataset, the calculation gives 0.00 eV/f.u.